Record 1
The following is a PBE calculation of a relaxed ErGa3Cu3 crystal, from Alexandria.

Cell: 4.200 8.376 8.835 Å, 133.48 90.00 90.00°
Element x y z (fractional)
Ga1 0.750 0.786 0.181
Ga2 0.750 0.610 0.527
Ga3 0.250 0.214 0.819
Ga4 0.750 0.412 0.111
Ga5 0.250 0.390 0.473
Ga6 0.250 0.588 0.889
Cu1 0.250 0.984 0.213
Cu2 0.250 0.206 0.089
Cu3 0.750 0.189 0.233
Cu4 0.750 0.794 0.911
Cu5 0.750 0.016 0.787
Cu6 0.250 0.811 0.767
Er1 0.750 0.249 0.606
Er2 0.250 0.751 0.394

Crystal system: monoclinic
ΔE_f in eV per atom: -0.275
Energy relative to the lowest polymorph listed for this composition in eV/atom: 0.0000
DFT total energy in eV/atom: -3.98

Record 2
The following is a PBE calculation of a relaxed Er4Ga12Cu crystal, from Alexandria.

Cell: 7.440 7.440 7.440 Å, 109.47 109.47 109.47°
Element x y z (fractional)
Er1 0.500 0.500 0.500
Er2 0.000 0.500 0.000
Er3 0.500 0.000 0.000
Er4 0.000 0.000 0.500
Ga1 0.709 0.000 0.709
Ga2 0.000 0.291 0.291
Ga3 0.500 0.250 0.750
Ga4 0.000 0.709 0.709
Ga5 0.250 0.500 0.750
Ga6 0.291 0.291 0.000
Ga7 0.250 0.750 0.500
Ga8 0.750 0.500 0.250
Ga9 0.709 0.709 0.000
Ga10 0.750 0.250 0.500
Ga11 0.500 0.750 0.250
Ga12 0.291 0.000 0.291
Cu1 0.000 0.000 0.000

Crystal system: cubic
ΔE_f in eV per atom: -0.501
DFT total energy in eV/atom: -3.95

Record 3
The following is a PBE calculation of a relaxed ErGa2Cu crystal, from Alexandria.

Cell: 3.262 3.262 6.743 Å, 90.00 90.00 90.00°
Each line ends with the local moment (μB).
Element x y z (fractional)
Ga1 0.000 0.000 0.799  0.00
Ga2 0.000 0.000 0.201  0.00
Cu1 0.500 0.500 0.000  0.00
Er1 0.500 0.500 0.500  0.12

Crystal system: tetragonal
ΔE_f in eV per atom: -0.292
DFT total energy in eV/atom: -3.97

Record 4
The following is a PBE calculation of a relaxed ErGaCu crystal, from Alexandria.

Cell: 4.212 4.571 6.162 Å, 90.00 110.08 90.00°
Element x y z (fractional)
Er1 0.098 0.750 0.201
Er2 0.902 0.250 0.799
Ga1 0.613 0.250 0.227
Ga2 0.387 0.750 0.773
Cu1 0.238 0.250 0.475
Cu2 0.762 0.750 0.525

Crystal system: monoclinic
ΔE_f in eV per atom: -0.400
DFT total energy in eV/atom: -4.30

Record 5
The following is a PBE calculation of a relaxed ErGaCu crystal, from Alexandria.

Cell: 11.273 11.273 11.273 Å, 157.78 141.47 44.92°
Element x y z (fractional)
Er1 0.038 0.500 0.538
Er2 0.374 0.835 0.539
Er3 0.141 0.668 0.473
Er4 0.471 0.000 0.471
Er5 0.704 0.165 0.539
Er6 0.805 0.332 0.473
Ga1 0.266 0.096 0.170
Ga2 0.737 0.567 0.170
Ga3 0.577 0.735 0.842
Ga4 0.107 0.265 0.842
Ga5 0.073 0.904 0.170
Ga6 0.602 0.433 0.170
Cu1 0.237 0.400 0.838
Cu2 0.766 0.927 0.839
Cu3 0.408 0.235 0.173
Cu4 0.912 0.073 0.839
Cu5 0.438 0.600 0.838
Cu6 0.938 0.765 0.173

Crystal system: orthorhombic
ΔE_f in eV per atom: -0.536
DFT total energy in eV/atom: -4.43

Record 6
The following is a PBE calculation of a relaxed ErGa4Cu12 crystal, from Alexandria.

Cell: 7.137 7.137 7.137 Å, 109.47 109.47 109.47°
Element x y z (fractional)
Cu1 0.354 0.207 0.853
Cu2 0.793 0.147 0.646
Cu3 0.646 0.793 0.147
Cu4 0.354 0.501 0.147
Cu5 0.147 0.354 0.501
Cu6 0.499 0.853 0.646
Cu7 0.147 0.646 0.793
Cu8 0.501 0.147 0.354
Cu9 0.207 0.853 0.354
Cu10 0.853 0.354 0.207
Cu11 0.646 0.499 0.853
Cu12 0.853 0.646 0.499
Ga1 0.500 0.000 0.000
Ga2 0.000 0.000 0.500
Ga3 0.000 0.500 0.000
Ga4 0.500 0.500 0.500
Er1 0.000 0.000 0.000

Crystal system: cubic
ΔE_f in eV per atom: 0.307
DFT total energy in eV/atom: -3.57

Record 7
The following is a PBE calculation of a relaxed ErGaCu crystal, from Alexandria.

Cell: 4.426 4.426 4.426 Å, 60.00 60.00 60.00°
Element x y z (fractional)
Er1 0.000 0.000 0.000
Cu1 0.250 0.250 0.250
Ga1 0.500 0.500 0.500

Crystal system: cubic
ΔE_f in eV per atom: -0.351
DFT total energy in eV/atom: -4.25

Record 8
The following is a PBE calculation of a relaxed ErGa7Cu5 crystal, from Alexandria.

Cell: 5.205 6.696 6.696 Å, 82.92 67.13 67.13°
Element x y z (fractional)
Cu1 0.004 0.496 0.000
Cu2 0.500 0.000 0.496
Cu3 0.500 0.496 0.000
Cu4 0.732 0.768 0.768
Cu5 0.004 0.000 0.496
Ga1 0.345 0.655 0.655
Ga2 0.992 0.665 0.351
Ga3 0.508 0.186 0.798
Ga4 0.508 0.798 0.186
Ga5 0.992 0.351 0.665
Ga6 0.647 0.353 0.353
Ga7 0.269 0.231 0.231
Er1 0.999 0.001 0.001

Crystal system: orthorhombic
ΔE_f in eV per atom: -0.253
DFT total energy in eV/atom: -3.81

Record 9
The following is a PBE calculation of a relaxed Er4GaCu3 crystal, from Alexandria.

Cell: 3.619 4.449 10.669 Å, 90.00 90.00 90.00°
Element x y z (fractional)
Cu1 0.000 0.000 0.430
Cu2 0.500 0.000 0.926
Cu3 0.000 0.500 0.572
Er1 0.000 0.500 0.847
Er2 0.500 0.000 0.638
Er3 0.500 0.500 0.364
Er4 0.000 0.000 0.149
Ga1 0.500 0.500 0.074

Crystal system: orthorhombic
ΔE_f in eV per atom: -0.337
Energy relative to the lowest polymorph listed for this composition in eV/atom: 0.0172
DFT total energy in eV/atom: -4.53

Record 10
The following is a PBE calculation of a relaxed Er2Ga3Cu crystal, from Alexandria.

Cell: 5.631 5.631 8.342 Å, 105.90 105.90 100.86°
Element x y z (fractional)
Cu1 0.332 0.332 0.665
Cu2 0.668 0.668 0.335
Ga1 0.831 0.338 0.170
Ga2 0.831 0.831 0.662
Ga3 0.662 0.169 0.830
Ga4 0.169 0.662 0.830
Ga5 0.338 0.831 0.170
Ga6 0.169 0.169 0.338
Er1 0.745 0.745 0.000
Er2 0.250 0.750 0.500
Er3 0.255 0.255 0.000
Er4 0.750 0.250 0.500

Crystal system: orthorhombic
ΔE_f in eV per atom: -0.588
Energy relative to the lowest polymorph listed for this composition in eV/atom: 0.0065
DFT total energy in eV/atom: -4.31

Record 11
The following is a PBE calculation of a relaxed ErGa6Cu12 crystal, from Alexandria.

Cell: 6.831 6.831 6.831 Å, 104.28 104.28 104.28°
Element x y z (fractional)
Cu1 0.627 0.627 0.874
Cu2 0.888 0.500 0.112
Cu3 0.373 0.126 0.373
Cu4 0.888 0.112 0.500
Cu5 0.126 0.373 0.373
Cu6 0.500 0.888 0.112
Cu7 0.500 0.112 0.888
Cu8 0.112 0.500 0.888
Cu9 0.373 0.373 0.126
Cu10 0.112 0.888 0.500
Cu11 0.627 0.874 0.627
Cu12 0.874 0.627 0.627
Ga1 0.283 0.703 0.283
Ga2 0.297 0.717 0.717
Ga3 0.717 0.297 0.717
Ga4 0.283 0.283 0.703
Ga5 0.703 0.283 0.283
Ga6 0.717 0.717 0.297
Er1 0.000 0.000 0.000

Crystal system: trigonal
ΔE_f in eV per atom: -0.041
DFT total energy in eV/atom: -3.82

Record 12
The following is a PBE calculation of a relaxed ErGa4Cu8 crystal, from Alexandria.

Cell: 5.042 6.560 6.560 Å, 81.51 67.40 67.40°
Element x y z (fractional)
Cu1 0.283 0.217 0.217
Cu2 0.500 0.217 0.783
Cu3 0.353 0.647 0.647
Cu4 0.647 0.353 0.353
Cu5 0.000 0.647 0.353
Cu6 0.000 0.353 0.647
Cu7 0.717 0.783 0.783
Cu8 0.500 0.783 0.217
Ga1 0.000 0.500 0.000
Ga2 0.000 0.000 0.500
Ga3 0.500 0.000 0.500
Ga4 0.500 0.500 0.000
Er1 0.000 0.000 0.000

Crystal system: tetragonal
ΔE_f in eV per atom: -0.172
DFT total energy in eV/atom: -3.97

Number 4 is which compound?
ErGaCu

Please write out number 7 again, unchanged.
The following is a PBE calculation of a relaxed ErGaCu crystal, from Alexandria.

Cell: 4.426 4.426 4.426 Å, 60.00 60.00 60.00°
Element x y z (fractional)
Er1 0.000 0.000 0.000
Cu1 0.250 0.250 0.250
Ga1 0.500 0.500 0.500

Crystal system: cubic
ΔE_f in eV per atom: -0.351
DFT total energy in eV/atom: -4.25

Copy entry 2 word for word.
The following is a PBE calculation of a relaxed Er4Ga12Cu crystal, from Alexandria.

Cell: 7.440 7.440 7.440 Å, 109.47 109.47 109.47°
Element x y z (fractional)
Er1 0.500 0.500 0.500
Er2 0.000 0.500 0.000
Er3 0.500 0.000 0.000
Er4 0.000 0.000 0.500
Ga1 0.709 0.000 0.709
Ga2 0.000 0.291 0.291
Ga3 0.500 0.250 0.750
Ga4 0.000 0.709 0.709
Ga5 0.250 0.500 0.750
Ga6 0.291 0.291 0.000
Ga7 0.250 0.750 0.500
Ga8 0.750 0.500 0.250
Ga9 0.709 0.709 0.000
Ga10 0.750 0.250 0.500
Ga11 0.500 0.750 0.250
Ga12 0.291 0.000 0.291
Cu1 0.000 0.000 0.000

Crystal system: cubic
ΔE_f in eV per atom: -0.501
DFT total energy in eV/atom: -3.95

The highest ΔE_f belongs to which entry?
ErGa4Cu12